VASP calculation (GGA-PBE) on Tc3Mo13 after structural relaxation.

ρ: 10.22 g cm⁻³
DOS(E_F): 14.456 states/eV/f.u.
spin magnetization: 0.0 Bohr magnetons per cell
formation energy: 0.02 eV/atom

a b c (Å): 6.304 6.304 6.299
angles (deg): 90.00 90.00 90.15
Element x y z (fractional)
Mo 0.250 0.255 0.500
Tc 0.004 0.996 0.251
Tc 0.004 0.996 0.749
Mo 0.003 0.498 0.750
Mo 0.247 0.753 0.500
Tc 0.743 0.257 0.000
Mo 0.502 0.498 0.250
Mo 0.748 0.252 0.500
Mo 0.250 0.750 0.000
Mo 0.502 0.498 0.750
Mo 0.003 0.498 0.250
Mo 0.748 0.754 0.000
Mo 0.502 0.997 0.250
Mo 0.246 0.252 0.000
Mo 0.502 0.997 0.750
Mo 0.745 0.750 0.500